The following is a PBE calculation of a geometry-optimized K4Bi2I structure, from the Alexandria database.

Computed properties:
- DOS(E_F) (states/eV/f.u.) = 5.67
- electronic total energy (eV/atom) = -2.448
- density (g cm⁻³) = 3.0
- E_form (uncorrected) (eV/atom) = -0.491

Cell lengths 6.853, 6.853, 9.534 Å; angles 68.94, 68.94, 90.00 degrees
Fractional positions:
I (0.000, 0.000, 0.000)
Bi (0.409, 0.409, 0.181)
Bi (0.591, 0.591, 0.819)
K (0.500, 0.000, 0.000)
K (0.798, 0.798, 0.404)
K (0.202, 0.202, 0.596)
K (0.000, 0.500, 0.000)